w) Material: TaBeZn
Method: DFT, GGA-PBE
State: relaxed

Unit cell a=2.784 b=2.784 c=6.557 alpha=90.00 beta=90.00 gamma=120.00
Sites, in units of the cell vectors:
Ta: 0.667 0.333 0.319
Zn: 0.333 0.667 0.690
Be: 0.000 0.000 0.991

Values from the calculation:
volume	44	Å³/cell
space-group type	P3m1, No. 156
theoretical density	9.63	g cm⁻³

=====

x) Material: TaBeZn
Method: DFT, GGA-PBE
State: relaxed

Unit cell a=4.170 b=4.170 c=4.170 alpha=60.00 beta=60.00 gamma=60.00
Sites, in units of the cell vectors:
Be: 0.500 0.500 0.500
Ta: 0.750 0.750 0.750
Zn: 0.000 0.000 0.000

Values from the calculation:
volume	51	Å³/cell
space-group type	F-43m, No. 216
theoretical density	8.27	g cm⁻³

=====

Which one is most stable, and which one is least stable? w) is the most stable of them, while x) is the least stable.